1.
MnSb2TeH: relaxed, PBE-GGA.

a b c (Å): 4.3011 4.3011 5.3894
angles (deg): 90.00 90.00 90.00
Last column: magnetic moment on the atom in μB.
Element x y z (fractional)
1 Sb 0.0000 0.5000 0.0000  -0.01
2 Sb 0.5000 0.0000 0.0000  -0.01
3 Mn 0.5000 0.5000 0.5000  0.11
4 Te 0.0000 0.0000 0.5000  -0.04
5 H 0.0000 0.0000 0.0000  0.00

Values from the calculation:
As for the crystal system: tetragonal. The calculation puts the volume at 19.94 Å³ per atom. The value obtained for the calculated total energy is -19.13 eV/cell. The value obtained for the density is 7.113 g/cm³.

---

2.
MnSb2TeH: relaxed, PBE-GGA.

a b c (Å): 5.0030 5.0030 5.1792
angles (deg): 90.00 90.00 90.00
Last column: magnetic moment on the atom in μB.
Element x y z (fractional)
1 Sb 0.5000 0.0000 0.0000  -0.03
2 Sb 0.0000 0.5000 0.0000  -0.03
3 Mn 0.0000 0.0000 0.0000  2.52
4 H 0.5000 0.5000 0.5000  -0.21
5 Te 0.0000 0.0000 0.5000  0.08

Values from the calculation:
As for the crystal system: tetragonal. The calculation puts the volume at 25.93 Å³ per atom. The value obtained for the calculated total energy is -20.31 eV/cell. The value obtained for the density is 5.470 g/cm³.

---

3.
MnTlSbH2: relaxed, PBE-GGA.

a b c (Å): 3.9052 6.5602 3.9052
angles (deg): 90.00 90.00 90.00
Last column: magnetic moment on the atom in μB.
Element x y z (fractional)
1 Tl 0.0000 0.0000 0.0000  0.02
2 H 0.5000 0.0000 0.0000  0.01
3 H 0.0000 0.0000 0.5000  0.01
4 Mn 0.5000 0.5000 0.5000  4.01
5 Sb 0.0000 0.5000 0.0000  -0.06

Values from the calculation:
As for the crystal system: tetragonal. The calculation puts the volume at 20.01 Å³ per atom. The value obtained for the calculated total energy is -19.87 eV/cell. The value obtained for the density is 6.358 g/cm³.